UAg2AuSe4 (PBE, optimized geometry); E = -73.9 eV for the cell shown; magnetization = 3.319 Bohr magnetons per cell
1.0
5.6400 0.0000 0.0000
0.0000 8.2983 0.0000
0.0000 0.0000 9.1954
Se Ag Au U
8 4 2 2
Cartesian
5.2876 6.9347 4.5977
2.4673 1.3957 4.5977
5.2876 2.7520 2.3812
5.2876 2.7520 6.8142
5.2873 6.9026 0.0000
2.4676 1.3636 0.0000
2.4676 5.5463 2.2165
2.4676 5.5463 6.9789
2.4674 2.8057 2.2437
5.2874 5.4927 6.8414
5.2874 5.4927 2.3540
2.4674 2.8057 6.9517
2.4670 7.0801 0.0000
5.2870 1.2183 4.5977
2.4677 6.9406 4.5977
5.2877 1.3577 0.0000